Arrangement w

The following is a DFT calculation (PBE) of an optimized crystal structure of YAlTe3.

abc: 7.555 7.838 12.327
angles: 90.00 119.87 90.00
Space group P2_1/c (No. 14)
Symmetry-distinct sites (fractional):
Y 0.152 0.133 0.215 [4 per cell]
Al 0.275 0.677 0.124 [4 per cell]
Te 0.082 0.198 0.932 [4 per cell]
Te 0.250 0.666 0.906 [4 per cell]
Te 0.458 0.051 0.807 [4 per cell]

=====

Arrangement x

The following is a DFT calculation (PBE) of an optimized crystal structure of YAlTe3.

abc: 5.326 5.326 5.326
angles: 90.00 90.00 90.00
Space group Pm-3m (No. 221)
Symmetry-distinct sites (fractional):
Y 0.000 0.000 0.000 [1 per cell]
Al 0.500 0.500 0.500 [1 per cell]
Te 0.000 0.500 0.500 [3 per cell]

Output
**Density of states at the Fermi level**: 2.27 states/eV per cell

=====

Arrangement y

The following is a DFT calculation (PBE) of an optimized crystal structure of YAlTe3.

abc: 5.882 5.882 5.882
angles: 90.00 90.00 90.00
Space group Pm-3m (No. 221)
Symmetry-distinct sites (fractional):
Y 0.000 0.000 0.000 [1 per cell]
Al 0.500 0.500 0.500 [1 per cell]
Te 0.000 0.000 0.500 [3 per cell]

Output
**Density of states at the Fermi level**: 7.97 states/eV per cell

=====

From most stable to least stable, the computed energies give arrangement w, arrangement x, arrangement y.